No. 1
The following is a DFT calculation (PBE) of a geometry-optimized CeGaS3 structure.

```
10
Lattice="6.190 -4.391 0.000 6.190 4.391 0.000 -0.060 0.000 4.199" Properties=species:S:1:pos:R:3 pbc="T T T"
Ce 2.869 0.000 1.063
Ce 9.451 0.000 3.136
Ga 6.160 1.649 2.100
Ga 6.160 -1.649 2.100
S 4.427 2.669 1.053
S 7.894 2.669 3.146
S 4.880 0.000 3.167
S 7.441 0.000 1.032
S 4.427 -2.669 1.053
S 7.894 -2.669 3.146
```

## Properties
Total magnetic moment ... 2.015 μB per cell
Uncorrected formation energy ... -1.269 eV/atom
DFT total energy ... -27.7 eV/f.u.



No. 2
The following is a DFT calculation (PBE) of a geometry-optimized Ce2GaS structure.

```
16
Lattice="4.183 0.000 0.000 0.000 22.969 0.000 0.000 0.000 4.074" Properties=species:S:1:pos:R:3 pbc="T T T"
Ce 0.000 1.604 1.019
Ce 0.000 7.190 1.019
Ce 0.000 15.778 3.056
Ce 0.000 21.365 3.056
Ce 2.091 4.294 3.056
Ce 2.091 9.880 3.056
Ce 2.091 13.088 1.019
Ce 2.091 18.675 1.019
Ga 0.000 10.638 1.019
Ga 0.000 12.330 3.056
Ga 2.091 0.846 3.056
Ga 2.091 22.123 1.019
S 0.000 4.387 1.019
S 0.000 18.581 3.056
S 2.091 7.097 3.056
S 2.091 15.872 1.019
```

## Properties
Total magnetic moment ... 6.022 μB per cell
Uncorrected formation energy ... -1.215 eV/atom
DFT total energy ... -23.9 eV/f.u.



No. 3
The following is a DFT calculation (PBE) of a geometry-optimized Ce2GaS structure.

```
12
Lattice="3.855 0.000 0.000 -1.928 3.339 0.000 0.000 0.000 23.647" Properties=species:S:1:pos:R:3 pbc="T T T"
Ce 0.000 0.000 0.000
Ce 0.000 0.000 4.500
Ce 0.000 2.226 15.765
Ce 0.000 2.226 20.264
Ce 1.928 1.113 7.882
Ce 1.928 1.113 12.382
Ga 0.000 0.000 10.119
Ga 0.000 2.226 2.236
Ga 1.928 1.113 18.001
S 0.000 0.000 14.085
S 0.000 2.226 6.202
S 1.928 1.113 21.967
```

## Properties
Total magnetic moment ... 3.215 μB per cell
Uncorrected formation energy ... -1.041 eV/atom
DFT total energy ... -23.2 eV/f.u.



Computed distance to the lowest polymorph of the same formula (meV per atom) in order:
26.3, 0.0, 174.5